Record 1
CaLa6TbPm2 | PBE | relaxed

## Properties
Magnetization ... 0.00 μB/cell
Formation energy ... 112 kJ/mol of formula units
Crystal system ... monoclinic
Total energy ... -4.454 eV/atom
Symmetry ... C2/c

Cell lengths 10.086, 9.184, 9.184 Å; angles 118.94, 94.61, 94.61 degrees
Fractional coordinates of all 20 atoms:
1 La 0.177 0.569 0.027
2 La 0.551 0.767 0.114
3 La 0.677 0.027 0.569
4 La 0.124 0.715 0.499
5 La 0.876 0.285 0.501
6 La 0.323 0.973 0.431
7 La 0.051 0.114 0.767
8 La 0.624 0.499 0.715
9 La 0.376 0.501 0.285
10 La 0.823 0.431 0.973
11 La 0.449 0.233 0.886
12 La 0.949 0.886 0.233
13 Ca 0.750 0.598 0.402
14 Ca 0.250 0.402 0.598
15 Tb 0.750 0.025 0.975
16 Tb 0.250 0.975 0.025
17 Pm 0.958 0.706 0.799
18 Pm 0.042 0.294 0.201
19 Pm 0.542 0.201 0.294
20 Pm 0.458 0.799 0.706

=====

Record 2
Tm2ZrGa3 | PBE | relaxed

## Properties
Magnetization ... 0.00 μB/cell
Formation energy ... -287 kJ/mol of formula units
Crystal system ... orthorhombic
Total energy ... -4.925 eV/atom
Symmetry ... Cmmm

Cell lengths 7.011, 7.694, 7.694 Å; angles 142.75, 90.00, 90.00 degrees
Fractional coordinates of all 12 atoms:
1 Tm 0.220 0.667 0.332
2 Tm 0.720 0.333 0.668
3 Tm 0.720 0.668 0.333
4 Tm 0.220 0.332 0.667
5 Zr 0.220 0.000 0.000
6 Zr 0.720 0.000 0.000
7 Ga 0.470 0.500 0.500
8 Ga 0.470 0.161 0.839
9 Ga 0.970 0.500 0.500
10 Ga 0.470 0.839 0.161
11 Ga 0.970 0.161 0.839
12 Ga 0.970 0.839 0.161

=====

Record 3
Ba2CeZrO6 | PBE | relaxed

## Properties
Magnetization ... 0.00 μB/cell
Crystal system ... tetragonal
Total energy ... -7.968 eV/atom
ΔE_f (raw) ... -3160 meV per atom
Symmetry ... P4/mmm

Cell lengths 4.352, 4.352, 8.800 Å; angles 90.00, 90.00, 90.00 degrees
Fractional coordinates of all 10 atoms:
1 O 0.500 0.000 0.000
2 O 0.000 0.000 0.262
3 O 0.000 0.000 0.738
4 O 0.000 0.500 0.500
5 O 0.500 0.000 0.500
6 O 0.000 0.500 0.000
7 Ce 0.000 0.000 0.000
8 Ba 0.500 0.500 0.262
9 Ba 0.500 0.500 0.738
10 Zr 0.000 0.000 0.500

=====

Record 4
ZnBiPd6 | PBE | relaxed

## Properties
Magnetization ... 0.00 μB/cell
Formation energy ... -142 kJ/mol of formula units
Crystal system ... triclinic
Total energy ... -4.722 eV/atom
Polymorph energy (0 for the lowest one) ... 0.116 eV per atom
Symmetry ... P-1

Cell lengths 7.057, 7.609, 5.183 Å; angles 42.61, 47.01, 57.08 degrees
Fractional coordinates of all 8 atoms:
1 Pd 0.930 0.448 0.876
2 Pd 0.746 0.931 0.771
3 Pd 0.553 0.746 0.632
4 Pd 0.254 0.069 0.229
5 Pd 0.070 0.552 0.124
6 Pd 0.447 0.254 0.368
7 Bi 0.000 0.000 0.000
8 Zn 0.500 0.500 0.500

=====

Record 5
CeHoHg4 | PBE | relaxed

## Properties
Magnetization ... 1.31 μB/cell
Formation energy ... -203 kJ/mol of formula units
Crystal system ... monoclinic
Total energy ... -2.303 eV/atom
Polymorph energy (0 for the lowest one) ... 0.000 eV per atom
Symmetry ... C2/m

Cell lengths 5.029, 6.063, 6.063 Å; angles 91.13, 65.60, 65.60 degrees
Fractional coordinates of all 6 atoms:
1 Ce 0.000 0.000 0.000
2 Hg 0.250 0.083 0.417
3 Hg 0.250 0.417 0.083
4 Hg 0.750 0.917 0.583
5 Hg 0.750 0.583 0.917
6 Ho 0.500 0.500 0.500

=====

Record 6
Li2TePtPb | PBE | relaxed

## Properties
Magnetization ... 0.00 μB/cell
Crystal system ... tetragonal
Total energy ... -3.056 eV/atom
ΔE_f (raw) ... 288 meV per atom
Symmetry ... P4/mmm

Cell lengths 5.153, 5.051, 5.153 Å; angles 90.00, 90.00, 90.00 degrees
Fractional coordinates of all 5 atoms:
1 Te 0.500 0.500 0.500
2 Li 0.000 0.000 0.500
3 Li 0.500 0.000 0.000
4 Pt 0.000 0.500 0.000
5 Pb 0.000 0.000 0.000

=====

Record 7
YTc2W | PBE | relaxed

## Properties
Magnetization ... 0.00 μB/cell
Formation energy ... 105 kJ/mol of formula units
Crystal system ... monoclinic
Total energy ... -9.765 eV/atom
Symmetry ... C2/m

Cell lengths 4.931, 4.931, 5.373 Å; angles 71.55, 71.55, 37.25 degrees
Fractional coordinates of all 4 atoms:
1 W 0.250 0.250 0.250
2 Y 0.750 0.750 0.750
3 Tc 0.975 0.975 0.062
4 Tc 0.525 0.525 0.438

=====

Record 8
LaTmHg3 | PBE | relaxed

## Properties
Magnetization ... 0.50 μB/cell
Formation energy ... -220 kJ/mol of formula units
Crystal system ... orthorhombic
Total energy ... -2.518 eV/atom
Symmetry ... Cmcm

Cell lengths 3.609, 4.989, 14.774 Å; angles 90.00, 97.02, 90.00 degrees
Fractional coordinates of all 10 atoms:
1 Hg 0.525 0.750 0.050
2 Hg 0.686 0.250 0.371
3 Hg 0.314 0.750 0.629
4 Hg 0.475 0.250 0.950
5 Hg 0.375 0.250 0.750
6 Hg 0.625 0.750 0.250
7 La 0.923 0.750 0.847
8 La 0.077 0.250 0.153
9 Tm 0.789 0.250 0.579
10 Tm 0.211 0.750 0.421

=====

Record 9
SrZr2Bi | PBE | relaxed

## Properties
Magnetization ... 0.00 μB/cell
Formation energy ... 158 kJ/mol of formula units
Crystal system ... tetragonal
Total energy ... -5.255 eV/atom
Polymorph energy (0 for the lowest one) ... 0.075 eV per atom
Symmetry ... I-42d

Cell lengths 8.834, 8.834, 6.999 Å; angles 50.87, 50.87, 90.00 degrees
Fractional coordinates of all 8 atoms:
1 Zr 0.375 0.332 0.750
2 Zr 0.082 0.625 0.250
3 Zr 0.668 0.125 0.250
4 Zr 0.875 0.918 0.750
5 Sr 0.250 0.750 0.500
6 Sr 0.500 0.500 0.000
7 Bi 0.750 0.250 0.500
8 Bi 0.000 0.000 0.000

=====

Record 10
NiPtBr4 | PBE | relaxed

## Properties
Magnetization ... 3.57 μB/cell
Crystal system ... monoclinic
Total energy ... -3.209 eV/atom
ΔE_f (raw) ... -123 meV per atom
Polymorph energy (0 for the lowest one) ... 0.000 eV per atom
Symmetry ... C2/m

Cell lengths 3.843, 7.801, 6.545 Å; angles 116.35, 90.00, 104.26 degrees
Fractional coordinates of all 6 atoms:
1 Ni 0.500 0.000 0.500
2 Br 0.104 0.207 0.446
3 Br 0.896 0.793 0.554
4 Br 0.393 0.787 0.067
5 Br 0.607 0.213 0.933
6 Pt 0.000 0.000 0.000

=====

Record 11
Cd2FeSb | PBE | relaxed

## Properties
Magnetization ... 1.69 μB/cell
Crystal system ... monoclinic
Total energy ... -3.410 eV/atom
ΔE_f (raw) ... 194 meV per atom
Symmetry ... Pm

Cell lengths 3.197, 3.117, 9.539 Å; angles 60.38, 90.00, 90.00 degrees
Fractional coordinates of all 4 atoms:
1 Cd 0.500 0.254 0.290
2 Cd 0.000 0.154 0.023
3 Sb 0.500 0.665 0.680
4 Fe 0.000 0.427 0.507

=====

Record 12
LiRe2NiOs | PBE | relaxed

## Properties
Magnetization ... 0.00 μB/cell
Formation energy ... 574 kJ/mol of formula units
Crystal system ... tetragonal
Total energy ... -7.575 eV/atom
Symmetry ... P4/mmm

Cell lengths 4.123, 3.839, 4.123 Å; angles 90.00, 90.00, 90.00 degrees
Fractional coordinates of all 5 atoms:
1 Re 0.500 0.000 0.000
2 Re 0.000 0.000 0.500
3 Os 0.500 0.500 0.500
4 Li 0.000 0.000 0.000
5 Ni 0.000 0.500 0.000